First-principles (PBE-GGA) data for a relaxed structure of HoTm4Cu4, as listed in the Alexandria database.

Lattice parameters (Å, degrees): 8.6612 8.6612 5.6901 90.00 90.00 90.00
Last column: nearest neighbours and their distance in Å.
Space group P4_2/n (No. 86, origin choice 2)
Asymmetric unit:
Ho 0.2500 0.2500 0.2500 x2  4 Cu 2.73
Tm 0.0642 0.6621 0.1519 x8  5 Cu 2.75-3.01
Cu 0.0256 0.6170 0.6358 x8  1 Cu 2.59, 1 Ho 2.73, 3 Tm 2.75-2.81

Summary:
* formation energy: -0.05 eV/atom
* VASP energy: -4.367 eV per atom

***

First-principles (PBE-GGA) data for a relaxed structure of Y12Tm5Th2, as listed in the Alexandria database.

Lattice parameters (Å, degrees): 15.5355 9.4207 8.5285 90.00 91.22 90.00
Last column: nearest neighbours and their distance in Å.
Space group C2/m (No. 12)
Asymmetric unit:
Y 0.0582 0.0000 0.3242 x4  2 Th 3.34, 2 Tm 3.36-3.43, 7 Y 3.41-3.53
Y 0.0866 0.5000 0.8801 x4  5 Y 3.41-3.63, 3 Tm 3.48-3.49, 2 Th 3.49
Y 0.1273 0.1926 0.6563 x8  4 Tm 3.40-3.74, 6 Y 3.41-3.79, 1 Th 3.57
Y 0.1534 0.3206 0.2389 x8  4 Y 3.38-3.63, 1 Th 3.38, 4 Tm 3.52-3.70
Tm 0.0000 0.5000 0.5000 x2  10 Y 3.48-3.74, 2 Tm 3.64
Tm 0.1954 0.0000 0.0142 x4  8 Y 3.43-3.69, 2 Th 3.46, 1 Tm 3.66
Tm 0.2315 0.5000 0.5751 x4  8 Y 3.36-3.52, 2 Tm 3.64-3.66
Th 0.0000 0.1769 0.0000 x4  1 Th 3.33, 8 Y 3.34-3.57, 2 Tm 3.46

Summary:
* formation energy: 0.15 eV/atom
* excess energy over the best structure of this formula in the dataset: 44 meV/atom
* VASP energy: -5.889 eV per atom

***

First-principles (PBE-GGA) data for a relaxed structure of VCu3S, as listed in the Alexandria database.

Lattice parameters (Å, degrees): 4.5818 4.5818 4.5818 90.00 90.00 90.00
Last column: nearest neighbours and their distance in Å.
Space group Pm-3m (No. 221)
Asymmetric unit:
V 0.0000 0.0000 0.0000 x1  6 Cu 2.29
Cu 0.0000 0.0000 0.5000 x3  2 V 2.29
S 0.5000 0.5000 0.5000 x1  12 Cu 3.24

Summary:
* excess energy over the best structure of this formula in the dataset: 816 meV/atom
* VASP energy: -3.621 eV per atom

***

First-principles (PBE-GGA) data for a relaxed structure of YSc2Ta, as listed in the Alexandria database.

Lattice parameters (Å, degrees): 10.4404 3.1432 5.8439 90.00 97.60 90.00
Last column: nearest neighbours and their distance in Å.
Space group Cm (No. 8)
Asymmetric unit:
Y 0.0000 0.0000 0.0000 x2  2 Y 3.14, 7 Sc 3.18-3.46, 3 Ta 3.24-3.25
Sc 0.0127 0.5000 0.5300 x2  3 Ta 3.07-3.09, 5 Sc 3.11-3.23, 2 Y 3.18
Sc 0.2603 0.5000 0.2882 x2  2 Ta 3.04, 5 Sc 3.11-3.23, 3 Y 3.20-3.39
Ta 0.2535 0.0000 0.7322 x2  5 Sc 3.04-3.09, 2 Ta 3.14, 3 Y 3.24-3.25

Summary:
* formation energy: 0.24 eV/atom
* excess energy over the best structure of this formula in the dataset: 84 meV/atom
* VASP energy: -7.504 eV per atom

***

First-principles (PBE-GGA) data for a relaxed structure of UPtS3, as listed in the Alexandria database.

Lattice parameters (Å, degrees): 13.7232 3.7803 7.9717 90.00 90.25 90.00
Last column: nearest neighbours and their distance in Å.
Space group C2/m (No. 12)
Asymmetric unit:
U 0.2145 0.0000 0.2717 x4  7 S 2.62-2.89
Pt 0.0704 0.5000 0.8492 x4  4 S 2.38-2.42
S 0.0183 0.0000 0.2501 x4  2 Pt 2.38
S 0.1534 0.5000 0.4736 x4  3 U 2.62-2.72
S 0.1722 0.0000 0.9205 x4  2 Pt 2.42

Summary:
* VASP energy: -6.752 eV per atom

***

First-principles (PBE-GGA) data for a relaxed structure of AsRh2Se, as listed in the Alexandria database.

Lattice parameters (Å, degrees): 6.3650 6.3650 6.3650 90.00 90.00 90.00
Last column: nearest neighbours and their distance in Å.
Space group F-43m (No. 216)
Asymmetric unit:
As 0.0000 0.0000 0.0000 x4  4 Se 2.76, 4 Rh 2.76
Rh 0.0000 0.0000 0.5000 x4  4 Rh 2.76, 4 Se 2.76
Rh 0.2500 0.2500 0.2500 x4  4 As 2.76, 4 Rh 2.76
Se 0.2500 0.2500 0.7500 x4  4 As 2.76, 4 Rh 2.76

Summary:
* excess energy over the best structure of this formula in the dataset: 707 meV/atom
* VASP energy: -5.376 eV per atom

***

First-principles (PBE-GGA) data for a relaxed structure of Sc2MnAu, as listed in the Alexandria database.

Lattice parameters (Å, degrees): 4.0592 4.0592 9.1092 90.00 90.00 90.00
Last column: nearest neighbours and their distance in Å.
Space group I-4m2 (No. 119)
Asymmetric unit:
Sc 0.0000 0.0000 0.0000 x2  4 Mn 2.87, 4 Sc 3.05, 4 Au 3.05
Sc 0.0000 0.5000 0.2500 x2  4 Au 2.87, 4 Mn 3.05, 4 Sc 3.05
Mn 0.0000 0.0000 0.5000 x2  8 Sc 2.87-3.05, 4 Au 3.05
Au 0.0000 0.5000 0.7500 x2  8 Sc 2.87-3.05, 4 Mn 3.05

Summary:
* formation energy: -0.25 eV/atom
* VASP energy: -6.531 eV per atom

***

First-principles (PBE-GGA) data for a relaxed structure of Tl2CrSe, as listed in the Alexandria database.

Lattice parameters (Å, degrees): 7.3309 7.3309 7.3309 90.00 90.00 90.00
Last column: nearest neighbours and their distance in Å.
Space group F-43m (No. 216)
Asymmetric unit:
Tl 0.0000 0.0000 0.0000 x4  4 Tl 3.17, 4 Se 3.17
Tl 0.2500 0.2500 0.2500 x4  4 Cr 3.17, 4 Tl 3.17
Cr 0.0000 0.0000 0.5000 x4  4 Tl 3.17, 4 Se 3.17
Se 0.2500 0.2500 0.7500 x4  4 Cr 3.17, 4 Tl 3.17

Summary:
* excess energy over the best structure of this formula in the dataset: 346 meV/atom
* VASP energy: -4.130 eV per atom

***

First-principles (PBE-GGA) data for a relaxed structure of ReTcRh6, as listed in the Alexandria database.

Lattice parameters (Å, degrees): 7.3354 7.3354 8.7942 90.00 90.00 120.00
Last column: nearest neighbours and their distance in Å.
Space group R-3m (No. 166, hexagonal axes)
Asymmetric unit:
Re 0.0000 0.0000 0.0000 x3  6 Rh 2.40
Tc 0.0000 0.0000 0.5000 x3  6 Rh 2.59
Rh 0.0718 0.5359 0.8634 x18  1 Re 2.40, 3 Rh 2.57-2.63, 1 Tc 2.59

Summary:
* formation energy: 0.73 eV/atom
* VASP energy: -7.638 eV per atom

***

First-principles (PBE-GGA) data for a relaxed structure of Dy4Mg, as listed in the Alexandria database.

Lattice parameters (Å, degrees): 6.1254 3.5442 14.1086 90.00 98.32 90.00
Last column: nearest neighbours and their distance in Å.
Space group C2/m (No. 12)
Asymmetric unit:
Dy 0.1026 0.0000 0.3092 x4  3 Mg 3.36, 9 Dy 3.52-3.54
Dy 0.1321 0.5000 0.8962 x4  12 Dy 3.52-3.55
Mg 0.0000 0.5000 0.5000 x2  6 Dy 3.36, 6 Mg 3.54

Summary:
* formation energy: 0.02 eV/atom
* excess energy over the best structure of this formula in the dataset: 38 meV/atom
* VASP energy: -3.980 eV per atom

***

First-principles (PBE-GGA) data for a relaxed structure of SbTeBr, as listed in the Alexandria database.

Lattice parameters (Å, degrees): 3.7635 3.7635 13.2933 90.00 90.00 90.00
Last column: nearest neighbours and their distance in Å.
Space group I4mm (No. 107)
Asymmetric unit:
Sb 0.0000 0.0000 0.0000 x2  4 Te 3.13, 4 Br 3.31
Te 0.0000 0.0000 0.6232 x2  4 Sb 3.13
Br 0.0000 0.0000 0.3518 x2  4 Sb 3.31, 1 Te 3.61

Summary:
* VASP energy: -3.020 eV per atom

***

First-principles (PBE-GGA) data for a relaxed structure of Ac6NiPt3, as listed in the Alexandria database.

Lattice parameters (Å, degrees): 7.3296 7.9814 13.3225 90.00 121.67 90.00
Last column: nearest neighbours and their distance in Å.
Space group P2_1/c (No. 14)
Asymmetric unit:
Ac 0.0912 0.0573 0.2522 x4  3 Pt 3.09-3.19, 1 Ni 3.11
Ac 0.2623 0.6777 0.0821 x4  1 Ni 2.87, 3 Pt 3.05-3.18
Ac 0.4053 0.1858 0.0778 x4  1 Ni 2.93, 3 Pt 2.98-3.27
Ni 0.5000 0.0000 0.5000 x2  6 Ac 2.87-3.11
Pt 0.0000 0.0000 0.0000 x2  6 Ac 2.98-3.10
Pt 0.3150 0.1101 0.7600 x4  6 Ac 3.09-3.27

Summary:
* formation energy: -0.76 eV/atom
* VASP energy: -5.614 eV per atom